[1]
Below is LiNiP2 after structural relaxation, with properties calculated at the GGA-PBE level.

Properties
For the volume, the calculation gives 14.17 A^3/atom. Its formation enthalpy at 0 K is -0.1598 eV per atom. As for the total energy: -4.789 eV/atom. As for the crystal system: tetragonal.

Cell: 6.927 6.927 4.726 Å, 90.00 90.00 90.00°
Space group I-42d (No. 122)
One atom of each set of equivalent atoms:
Li 0.000 0.000 0.000 x4
Ni 0.000 0.000 0.500 x4
P 0.189 0.250 0.625 x8


[2]
Below is TmFeNiGe2 after structural relaxation, with properties calculated at the GGA-PBE level.

Properties
For the volume, the calculation gives 15.76 A^3/atom. Its formation enthalpy at 0 K is -0.5447 eV per atom. As for the total energy: -6.135 eV/atom. As for the crystal system: tetragonal.

Cell: 3.937 3.937 10.172 Å, 90.00 90.00 90.00°
Space group I-4m2 (No. 119)
One atom of each set of equivalent atoms:
Tm 0.000 0.000 0.000 x2
Fe 0.000 0.500 0.250 x2
Ni 0.000 0.500 0.750 x2
Ge 0.000 0.000 0.375 x4


[3]
Below is Rb3Na5Hg3 after structural relaxation, with properties calculated at the GGA-PBE level.

Properties
For the volume, the calculation gives 50.81 A^3/atom. Its formation enthalpy at 0 K is -0.0826 eV per atom. As for the total energy: -1.028 eV/atom. As for the crystal system: hexagonal.

Cell: 9.5710 9.5710 7.0448 Å, 90.00 90.00 120.00°
Space group P-62m (No. 189)
One atom of each set of equivalent atoms:
Rb 0.0000 0.3507 0.0000 x3
Na 0.0000 0.7381 0.5000 x3
Na 0.3333 0.6667 0.5000 x2
Hg 0.0000 0.3722 0.5000 x3


[4]
Below is Hf3TcIr2 after structural relaxation, with properties calculated at the GGA-PBE level.

Properties
For the volume, the calculation gives 17.47 A^3/atom. Its formation enthalpy at 0 K is -0.8754 eV per atom. As for the total energy: -10.533 eV/atom. As for the crystal system: orthorhombic.

Cell: 4.633 13.925 6.500 Å, 90.00 90.00 90.00°
Space group Cmmm (No. 65)
One atom of each set of equivalent atoms:
Hf 0.000 0.000 0.250 x4
Hf 0.000 0.333 0.248 x8
Tc 0.000 0.166 0.000 x4
Ir 0.000 0.166 0.500 x4
Ir 0.000 0.500 0.000 x2
Ir 0.000 0.500 0.500 x2


Q: Among the records above, which one has the lowest formation enthalpy at 0 K?
A: Hf3TcIr2